First-principles (meta-GGA SCAN) data for LiGdSe2 at its PBEsol-relaxed geometry, as listed in the Alexandria database.

- Electronic total energy: -27.1348 eV/atom

Cell lengths 4.0604, 4.0604, 5.5560 Å; angles 90.00, 90.00, 90.00 degrees
Sites, in units of the cell vectors:
Li: 0.0000 0.0000 0.0000
Gd: 0.5000 0.5000 0.5000
Se: 0.0000 0.0000 0.5000
Se: 0.5000 0.5000 0.0000


First-principles (meta-GGA SCAN) data for MgSb2P at its PBEsol-relaxed geometry, as listed in the Alexandria database.

- Electronic total energy: -22.3397 eV/atom
- Energy above the most stable polymorph in this dataset: 0.44 eV/f.u.

Cell lengths 5.9416, 5.9416, 5.1268 Å; angles 115.44, 115.44, 33.58 degrees
Sites, in units of the cell vectors:
Mg: 0.0000 0.0000 0.0000
Sb: 0.5776 0.5776 0.5850
Sb: 0.7979 0.7979 0.3049
P: 0.2945 0.2945 0.8936